Nb2Ir2Pt: optimized geometry, GGA-PBE.

Unit cell a=7.486 b=7.486 c=2.990 alpha=90.00 beta=90.00 gamma=90.00
Positions (direct):
Nb 0.169 0.331 0.000
Nb 0.331 0.831 0.000
Nb 0.669 0.169 0.000
Nb 0.831 0.669 0.000
Ir 0.131 0.631 0.500
Ir 0.369 0.131 0.500
Ir 0.631 0.869 0.500
Ir 0.869 0.369 0.500
Pt 0.000 0.000 0.500
Pt 0.500 0.500 0.500

SG ... No. 127
Calculated volume ... 16.8 A^3/atom
Relative energy among the computed polymorphs ... 0 kJ/mol of formula units
Magnetization ... 0.00 μB per cell